A PBEsol-optimized structure of BiPtSe. Source: the Alexandria database, functional meta-GGA SCAN.

Summary:
- crystal system = cubic
- uncorrected formation energy (eV/atom) = -0.38
- E_tot (eV per atom) = -56.67

a = 6.4429 Å, b = 6.4429 Å, c = 6.4429 Å
α = 90.00°, β = 90.00°, γ = 90.00°
Closest atoms and distances in Å follow each position.
Element x y z (fractional)
Se1 0.6200 0.6200 0.6200  3 Pt 2.60, 1 Bi 2.81
Se2 0.1200 0.8800 0.3800  3 Pt 2.60, 1 Bi 2.81
Se3 0.3800 0.1200 0.8800  3 Pt 2.60, 1 Bi 2.81
Se4 0.8800 0.3800 0.1200  3 Pt 2.60, 1 Bi 2.81
Pt1 0.5142 0.4858 0.9858  3 Se 2.60, 3 Bi 2.74
Pt2 0.4858 0.9858 0.5142  3 Se 2.60, 3 Bi 2.74
Pt3 0.9858 0.5142 0.4858  3 Se 2.60, 3 Bi 2.74
Pt4 0.0142 0.0142 0.0142  3 Se 2.60, 3 Bi 2.74
Bi1 0.1319 0.6319 0.8681  3 Pt 2.74, 1 Se 2.81
Bi2 0.8681 0.1319 0.6319  3 Pt 2.74, 1 Se 2.81
Bi3 0.6319 0.8681 0.1319  3 Pt 2.74, 1 Se 2.81
Bi4 0.3681 0.3681 0.3681  3 Pt 2.74, 1 Se 2.81


A PBEsol-optimized structure of Bi2Pt2Se. Source: the Alexandria database, functional meta-GGA SCAN.

Summary:
- crystal system = tetragonal
- uncorrected formation energy (eV/atom) = 0.03
- E_tot (eV per atom) = -63.50

a = 3.8891 Å, b = 7.4095 Å, c = 7.4095 Å
α = 90.00°, β = 90.00°, γ = 90.00°
Closest atoms and distances in Å follow each position.
Element x y z (fractional)
Bi1 0.5000 0.1633 0.6633  6 Pt 2.88-2.95
Bi2 0.5000 0.6633 0.8367  6 Pt 2.88-2.95
Bi3 0.5000 0.8367 0.3367  6 Pt 2.88-2.95
Bi4 0.5000 0.3367 0.1633  6 Pt 2.88-2.95
Se1 0.0000 0.5000 0.5000  4 Pt 2.89
Se2 0.0000 0.0000 0.0000  4 Pt 2.89
Pt1 0.0000 0.3658 0.8658  1 Pt 2.81, 6 Bi 2.88-2.95, 2 Se 2.89
Pt2 0.0000 0.6342 0.1342  1 Pt 2.81, 6 Bi 2.88-2.95, 2 Se 2.89
Pt3 0.0000 0.1342 0.3658  1 Pt 2.81, 6 Bi 2.88-2.95, 2 Se 2.89
Pt4 0.0000 0.8658 0.6342  1 Pt 2.81, 6 Bi 2.88-2.95, 2 Se 2.89


A PBEsol-optimized structure of SiBiPt3. Source: the Alexandria database, functional meta-GGA SCAN.

Summary:
- crystal system = cubic
- uncorrected formation energy (eV/atom) = 0.00
- E_tot (eV per atom) = -59.83

a = 4.5657 Å, b = 4.5657 Å, c = 4.5657 Å
α = 90.00°, β = 90.00°, γ = 90.00°
Closest atoms and distances in Å follow each position.
Element x y z (fractional)
Bi1 0.5000 0.5000 0.5000  12 Pt 3.23
Si1 0.0000 0.0000 0.0000  6 Pt 2.28
Pt1 0.0000 0.0000 0.5000  2 Si 2.28
Pt2 0.5000 0.0000 0.0000  2 Si 2.28
Pt3 0.0000 0.5000 0.0000  2 Si 2.28


A PBEsol-optimized structure of Sn3BiPt. Source: the Alexandria database, functional meta-GGA SCAN.

Summary:
- crystal system = cubic
- E_tot (eV per atom) = -51.25
- formation enthalpy at 0 K (eV per atom) = 0.0551

a = 5.1960 Å, b = 5.1960 Å, c = 5.1960 Å
α = 90.00°, β = 90.00°, γ = 90.00°
Closest atoms and distances in Å follow each position.
Element x y z (fractional)
Bi1 0.5000 0.5000 0.5000  12 Sn 3.67
Pt1 0.0000 0.0000 0.0000  6 Sn 2.60
Sn1 0.0000 0.0000 0.5000  2 Pt 2.60
Sn2 0.0000 0.5000 0.0000  2 Pt 2.60
Sn3 0.5000 0.0000 0.0000  2 Pt 2.60


A PBEsol-optimized structure of SrBi3Pt. Source: the Alexandria database, functional meta-GGA SCAN.

Summary:
- crystal system = cubic
- E_tot (eV per atom) = -65.79
- formation enthalpy at 0 K (eV per atom) = -0.1436

a = 5.4606 Å, b = 5.4606 Å, c = 5.4606 Å
α = 90.00°, β = 90.00°, γ = 90.00°
Closest atoms and distances in Å follow each position.
Element x y z (fractional)
Bi1 0.0000 0.0000 0.5000  2 Pt 2.73
Bi2 0.5000 0.0000 0.0000  2 Pt 2.73
Bi3 0.0000 0.5000 0.0000  2 Pt 2.73
Sr1 0.5000 0.5000 0.5000  12 Bi 3.86
Pt1 0.0000 0.0000 0.0000  6 Bi 2.73


A PBEsol-optimized structure of Sr2TaBiPt. Source: the Alexandria database, functional meta-GGA SCAN.

Summary:
- crystal system = tetragonal
- E_tot (eV per atom) = -51.00
- formation enthalpy at 0 K (eV per atom) = 0.9768

a = 5.2163 Å, b = 5.7213 Å, c = 5.7213 Å
α = 90.00°, β = 90.00°, γ = 90.00°
Closest atoms and distances in Å follow each position.
Element x y z (fractional)
Sr1 0.0000 0.5000 0.0000  2 Ta 2.86
Sr2 0.0000 0.0000 0.5000  2 Ta 2.86
Bi1 0.5000 0.0000 0.0000  2 Ta 2.61
Pt1 0.5000 0.5000 0.5000  8 Sr 3.87, 4 Bi 4.05
Ta1 0.0000 0.0000 0.0000  2 Bi 2.61, 4 Sr 2.86


A PBEsol-optimized structure of SrZrBiPt2. Source: the Alexandria database, functional meta-GGA SCAN.

Summary:
- crystal system = tetragonal
- E_tot (eV per atom) = -53.57
- formation enthalpy at 0 K (eV per atom) = 0.8192

a = 5.0524 Å, b = 5.0524 Å, c = 5.6775 Å
α = 90.00°, β = 90.00°, γ = 90.00°
Closest atoms and distances in Å follow each position.
Element x y z (fractional)
Pt1 0.5000 0.0000 0.0000  2 Bi 2.53
Pt2 0.0000 0.5000 0.0000  2 Bi 2.53
Zr1 0.5000 0.5000 0.5000  4 Sr 3.57, 8 Pt 3.80
Sr1 0.0000 0.0000 0.5000  2 Bi 2.84
Bi1 0.0000 0.0000 0.0000  4 Pt 2.53


A PBEsol-optimized structure of TaBi2Pt. Source: the Alexandria database, functional meta-GGA SCAN.

Summary:
- crystal system = tetragonal
- E_tot (eV per atom) = -72.88
- formation enthalpy at 0 K (eV per atom) = 0.6065

a = 4.4006 Å, b = 4.4006 Å, c = 10.0181 Å
α = 102.69°, β = 102.69°, γ = 90.00°
Closest atoms and distances in Å follow each position.
Element x y z (fractional)
Ta1 0.7500 0.2500 0.5000  4 Bi 2.85, 4 Pt 3.11
Ta2 0.5000 0.5000 0.0000  4 Bi 2.85, 4 Pt 3.11
Bi1 0.3726 0.8750 0.2500  2 Pt 2.84, 2 Ta 2.85, 4 Bi 3.10-3.13
Bi2 0.8774 0.3750 0.2500  2 Pt 2.84, 2 Ta 2.85, 4 Bi 3.10-3.13
Bi3 0.1250 0.1226 0.7500  2 Pt 2.84, 2 Ta 2.85, 4 Bi 3.10-3.13
Bi4 0.6250 0.6274 0.7500  2 Pt 2.84, 2 Ta 2.85, 4 Bi 3.10-3.13
Pt1 0.2500 0.7500 0.5000  4 Bi 2.84, 4 Ta 3.11
Pt2 0.0000 0.0000 0.0000  4 Bi 2.84, 4 Ta 3.11


A PBEsol-optimized structure of TbBiPt. Source: the Alexandria database, functional meta-GGA SCAN.

Summary:
- crystal system = cubic
- E_tot (eV per atom) = -66.46
- formation enthalpy at 0 K (eV per atom) = -1.2832

a = 4.7056 Å, b = 4.7056 Å, c = 4.7056 Å
α = 60.00°, β = 60.00°, γ = 60.00°
Closest atoms and distances in Å follow each position.
Element x y z (fractional)
Tb1 0.7500 0.7500 0.7500  4 Pt 2.88
Bi1 0.2500 0.2500 0.2500  4 Pt 2.88
Pt1 0.0000 0.0000 0.0000  4 Bi 2.88, 4 Tb 2.88


A PBEsol-optimized structure of Tb5BiPt2. Source: the Alexandria database, functional meta-GGA SCAN.

Summary:
- crystal system = tetragonal
- E_tot (eV per atom) = -57.71
- formation enthalpy at 0 K (eV per atom) = -1.1103

a = 7.7677 Å, b = 8.6914 Å, c = 7.7677 Å
α = 116.54°, β = 90.00°, γ = 116.54°
Closest atoms and distances in Å follow each position.
Element x y z (fractional)
Pt1 0.3630 0.0000 0.8630  8 Tb 2.92-3.01, 1 Pt 3.01
Pt2 0.1370 0.0000 0.3630  8 Tb 2.92-3.01, 1 Pt 3.01
Pt3 0.8630 0.0000 0.6370  8 Tb 2.92-3.01, 1 Pt 3.01
Pt4 0.6370 0.0000 0.1370  8 Tb 2.92-3.01, 1 Pt 3.01
Tb1 0.9795 0.2727 0.4795  3 Pt 2.92-2.93
Tb2 0.0000 0.0000 0.0000  4 Pt 3.01, 2 Bi 3.37
Tb3 0.2932 0.2727 0.7932  3 Pt 2.92-2.93
Tb4 0.7068 0.7273 0.2068  3 Pt 2.92-2.93
Tb5 0.0205 0.7273 0.5205  3 Pt 2.92-2.93
Tb6 0.2068 0.7273 0.0205  3 Pt 2.92-2.93
Tb7 0.5205 0.7273 0.7068  3 Pt 2.92-2.93
Tb8 0.5000 0.0000 0.5000  4 Pt 3.01, 2 Bi 3.37
Tb9 0.4795 0.2727 0.2932  3 Pt 2.92-2.93
Tb10 0.7932 0.2727 0.9795  3 Pt 2.92-2.93
Bi1 0.2500 0.5000 0.2500  10 Tb 3.31-3.37
Bi2 0.7500 0.5000 0.7500  10 Tb 3.31-3.37


A PBEsol-optimized structure of TiTcBi2Pt. Source: the Alexandria database, functional meta-GGA SCAN.

Summary:
- crystal system = tetragonal
- E_tot (eV per atom) = -54.53
- formation enthalpy at 0 K (eV per atom) = 1.1551

a = 4.7389 Å, b = 5.2963 Å, c = 5.2963 Å
α = 90.00°, β = 90.00°, γ = 90.00°
Closest atoms and distances in Å follow each position.
Element x y z (fractional)
Bi1 0.0000 0.5000 0.0000  2 Pt 2.65
Bi2 0.0000 0.0000 0.5000  2 Pt 2.65
Pt1 0.0000 0.0000 0.0000  2 Tc 2.37, 4 Bi 2.65
Ti1 0.5000 0.5000 0.5000  8 Bi 3.55, 4 Tc 3.75
Tc1 0.5000 0.0000 0.0000  2 Pt 2.37


A PBEsol-optimized structure of Bi2TePt2. Source: the Alexandria database, functional meta-GGA SCAN.

Summary:
- crystal system = tetragonal
- uncorrected formation energy (eV/atom) = -0.08
- E_tot (eV per atom) = -67.04

a = 3.8802 Å, b = 3.8802 Å, c = 8.5315 Å
α = 103.14°, β = 103.14°, γ = 90.00°
Closest atoms and distances in Å follow each position.
Element x y z (fractional)
Pt1 0.7500 0.2500 0.5000  4 Pt 2.74, 4 Bi 2.81
Pt2 0.2500 0.7500 0.5000  4 Pt 2.74, 4 Bi 2.81
Bi1 0.3757 0.3757 0.7514  4 Pt 2.81
Bi2 0.6243 0.6243 0.2486  4 Pt 2.81
Te1 0.0000 0.0000 0.0000  8 Bi 3.40


Please write out number 6 again, unchanged.
A PBEsol-optimized structure of Sr2TaBiPt. Source: the Alexandria database, functional meta-GGA SCAN.

Summary:
- crystal system = tetragonal
- E_tot (eV per atom) = -51.00
- formation enthalpy at 0 K (eV per atom) = 0.9768

a = 5.2163 Å, b = 5.7213 Å, c = 5.7213 Å
α = 90.00°, β = 90.00°, γ = 90.00°
Closest atoms and distances in Å follow each position.
Element x y z (fractional)
Sr1 0.0000 0.5000 0.0000  2 Ta 2.86
Sr2 0.0000 0.0000 0.5000  2 Ta 2.86
Bi1 0.5000 0.0000 0.0000  2 Ta 2.61
Pt1 0.5000 0.5000 0.5000  8 Sr 3.87, 4 Bi 4.05
Ta1 0.0000 0.0000 0.0000  2 Bi 2.61, 4 Sr 2.86


Among the records above, which one has the highest E_tot? Sr2TaBiPt


What is the formula in the tenth record? Tb5BiPt2


What is the E_tot in the third record? -59.83 eV per atom